{
  "formula": "NaGaGePt",
  "functional": "PBE-GGA",
  "state": "optimized geometry",
  "lattice": [[0.000, 3.267, 3.267], [3.267, 0.000, 3.267], [3.267, 3.267, 0.000]],
  "species": ["Na", "Ga", "Ge", "Pt"],
  "frac_coords": [[0.000, 0.000, 0.000], [0.500, 0.500, 0.500], [0.750, 0.750, 0.750], [0.250, 0.250, 0.250]],
  "polymorph_energy_mev_per_atom": 186,
  "total_energy_ev_per_cell": -15.262,
  "spacegroup": "F-43m (216)"
}